# SrPrAgSeS2 (GGA-PBE, optimized geometry)
# Magnetic moment ... 0.0 μB/f.u.
# Calculated total energy ... -5.049 eV/atom
# Density ... 5.08 g cm⁻³
data_SrPrAgSeS2
_chemical_formula_sum 'Sr4 Pr4 Ag4 Se4 S8'
_symmetry_space_group_name_H-M 'C m c m'
_symmetry_Int_Tables_number 63
_symmetry_space_group_name_Hall '-C 2c 2'
_cell_length_a 4.1358
_cell_length_b 13.8386
_cell_length_c 10.9470
_cell_angle_alpha 90.00
_cell_angle_beta 90.00
_cell_angle_gamma 90.00
loop_
_atom_site_label
_atom_site_type_symbol
_atom_site_fract_x
_atom_site_fract_y
_atom_site_fract_z
Sr1 Sr 0.0000 0.2313 0.2500
Pr1 Pr 0.0000 0.0000 0.0000
Ag1 Ag 0.0000 0.4808 0.7500
Se1 Se 0.0000 0.1015 0.7500
S1 S 0.0000 0.3653 0.5711

---

# Tb2YTl3 (GGA-PBE, optimized geometry)
# Magnetic moment ... 0.1 μB/f.u.
# Calculated total energy ... -4.158 eV/atom
# Density ... 10.37 g cm⁻³
data_Tb2YTl3
_chemical_formula_sum 'Tb2 Y1 Tl3'
_symmetry_space_group_name_H-M 'P 4/m m m'
_symmetry_Int_Tables_number 123
_symmetry_space_group_name_Hall '-P 4 2'
_cell_length_a 3.6646
_cell_length_b 3.6646
_cell_length_c 12.1623
_cell_angle_alpha 90.00
_cell_angle_beta 90.00
_cell_angle_gamma 90.00
loop_
_atom_site_label
_atom_site_type_symbol
_atom_site_fract_x
_atom_site_fract_y
_atom_site_fract_z
Tb1 Tb 0.0000 0.0000 0.1669
Y1 Y 0.0000 0.0000 0.5000
Tl1 Tl 0.5000 0.5000 0.0000
Tl2 Tl 0.5000 0.5000 0.3337

---

# GdSiH2O4 (GGA-PBE, optimized geometry)
# Magnetic moment ... 0.9 μB/f.u.
# Calculated total energy ... -6.584 eV/atom
# ΔE to the lowest computed polymorph ... 0.013 eV per atom
# Density ... 4.69 g cm⁻³
data_GdSiH2O4
_chemical_formula_sum 'Gd4 Si4 H8 O16'
_symmetry_space_group_name_H-M 'P 1 21/c 1'
_symmetry_Int_Tables_number 14
_cell_length_a 4.7999
_cell_length_b 6.6352
_cell_length_c 11.7431
_cell_angle_alpha 90.00
_cell_angle_beta 107.85
_cell_angle_gamma 90.00
loop_
_symmetry_equiv_pos_as_xyz
'x,y,z'
'-x,-y,-z'
'-x,y+1/2,-z+1/2'
'x,-y+1/2,z+1/2'
loop_
_atom_site_label
_atom_site_type_symbol
_atom_site_fract_x
_atom_site_fract_y
_atom_site_fract_z
Gd1 Gd 0.0249 0.2463 0.3309
Si1 Si 0.2744 0.2346 0.1074
H1 H 0.2866 0.7463 0.4851
H2 H 0.4636 0.0132 0.7426
O1 O 0.0689 0.7375 0.9900
O2 O 0.2091 0.0492 0.1971
O3 O 0.2511 0.0567 0.6989
O4 O 0.4151 0.2349 0.9941

---

# TmZn (GGA-PBE, optimized geometry)
# Magnetic moment ... 0.0 μB/f.u.
# Calculated total energy ... -2.969 eV/atom
# Formation energy ... -99 meV per atom
# Density ... 8.70 g cm⁻³
data_TmZn
_chemical_formula_sum 'Tm4 Zn4'
_symmetry_space_group_name_H-M 'P m m 2'
_symmetry_Int_Tables_number 25
_cell_length_a 4.5641
_cell_length_b 7.9747
_cell_length_c 4.9158
_cell_angle_alpha 90.00
_cell_angle_beta 90.00
_cell_angle_gamma 90.00
loop_
_symmetry_equiv_pos_as_xyz
'x,y,z'
'-x,-y,z'
'-x,y,z'
'x,-y,z'
loop_
_atom_site_label
_atom_site_type_symbol
_atom_site_fract_x
_atom_site_fract_y
_atom_site_fract_z
Tm1 Tm 0.0000 0.0000 0.0000
Tm2 Tm 0.0000 0.2963 0.5164
Tm3 Tm 0.5000 0.0000 0.4989
Zn1 Zn 0.0000 0.5000 0.0209
Zn2 Zn 0.5000 0.2523 0.9755
Zn3 Zn 0.5000 0.5000 0.3327

---

# SiNi2Te (GGA-PBE, optimized geometry)
# Magnetic moment ... 0.0 μB/f.u.
# Calculated total energy ... -5.181 eV/atom
# ΔE to the lowest computed polymorph ... 0.012 eV per atom
# Density ... 6.99 g cm⁻³
data_SiNi2Te
_chemical_formula_sum 'Si2 Ni4 Te2'
_symmetry_space_group_name_H-M 'P m n 21'
_symmetry_Int_Tables_number 31
_cell_length_a 3.8514
_cell_length_b 7.2657
_cell_length_c 4.6378
_cell_angle_alpha 90.00
_cell_angle_beta 90.00
_cell_angle_gamma 90.00
loop_
_symmetry_equiv_pos_as_xyz
'x,y,z'
'-x+1/2,-y,z+1/2'
'-x,y,z'
'x+1/2,-y,z+1/2'
loop_
_atom_site_label
_atom_site_type_symbol
_atom_site_fract_x
_atom_site_fract_y
_atom_site_fract_z
Si1 Si 0.0000 0.0637 0.0000
Ni1 Ni 0.0000 0.1470 0.4800
Ni2 Ni 0.0000 0.8099 0.3165
Te1 Te 0.0000 0.6392 0.8171

---

# LuNiBPt (GGA-PBE, optimized geometry)
# Magnetic moment ... 0.0 μB/f.u.
# Calculated total energy ... -5.835 eV/atom
# ΔE to the lowest computed polymorph ... 0.000 eV per atom
# Density ... 13.10 g cm⁻³
data_LuNiBPt
_chemical_formula_sum 'Lu4 Ni4 B4 Pt4'
_symmetry_space_group_name_H-M 'F -4 3 m'
_symmetry_Int_Tables_number 216
_symmetry_space_group_name_Hall 'F -4 2 3'
_cell_length_a 6.0623
_cell_length_b 6.0623
_cell_length_c 6.0623
_cell_angle_alpha 90.00
_cell_angle_beta 90.00
_cell_angle_gamma 90.00
loop_
_atom_site_label
_atom_site_type_symbol
_atom_site_fract_x
_atom_site_fract_y
_atom_site_fract_z
Lu1 Lu 0.0000 0.0000 0.0000
Ni1 Ni 0.2500 0.2500 0.2500
B1 B 0.2500 0.2500 0.7500
Pt1 Pt 0.0000 0.0000 0.5000

---

# SnPtSe4 (GGA-PBE, optimized geometry)
# Magnetic moment ... 0.0 μB/f.u.
# Calculated total energy ... -4.383 eV/atom
# ΔE to the lowest computed polymorph ... 0.008 eV per atom
# Density ... 6.17 g cm⁻³
data_SnPtSe4
_chemical_formula_sum 'Sn1 Pt1 Se4'
_symmetry_space_group_name_H-M 'P 1 2/m 1'
_symmetry_Int_Tables_number 10
_cell_length_a 6.5859
_cell_length_b 3.8069
_cell_length_c 7.0668
_cell_angle_alpha 90.00
_cell_angle_beta 107.06
_cell_angle_gamma 90.00
loop_
_symmetry_equiv_pos_as_xyz
'x,y,z'
'-x,-y,-z'
'-x,y,-z'
'x,-y,z'
loop_
_atom_site_label
_atom_site_type_symbol
_atom_site_fract_x
_atom_site_fract_y
_atom_site_fract_z
Sn1 Sn 0.0000 0.0000 0.0000
Pt1 Pt 0.5000 0.5000 0.0000
Se1 Se 0.1190 0.5000 0.7760
Se2 Se 0.4196 0.0000 0.2057

---

# SmScGe2Au2 (GGA-PBE, optimized geometry)
# Magnetic moment ... 0.0 μB/f.u.
# Calculated total energy ... -5.251 eV/atom
# Density ... 9.89 g cm⁻³
data_SmScGe2Au2
_chemical_formula_sum 'Sm1 Sc1 Ge2 Au2'
_symmetry_space_group_name_H-M 'P 3 m 1'
_symmetry_Int_Tables_number 156
_cell_length_a 4.4553
_cell_length_b 4.4553
_cell_length_c 7.1735
_cell_angle_alpha 90.00
_cell_angle_beta 90.00
_cell_angle_gamma 120.00
loop_
_symmetry_equiv_pos_as_xyz
'x,y,z'
'-y,x-y,z'
'-x+y,-x,z'
'-y,-x,z'
'-x+y,y,z'
'x,x-y,z'
loop_
_atom_site_label
_atom_site_type_symbol
_atom_site_fract_x
_atom_site_fract_y
_atom_site_fract_z
Sm1 Sm 0.0000 0.0000 0.0000
Sc1 Sc 0.0000 0.0000 0.4957
Ge1 Ge 0.3333 0.6667 0.2177
Ge2 Ge 0.6667 0.3333 0.6904
Au1 Au 0.3333 0.6667 0.7728
Au2 Au 0.6667 0.3333 0.3101

---

Among the records above, which one has the highest density? LuNiBPt

---

Which of these has the highest density? LuNiBPt

---

Among the records above, which one has the lowest calculated total energy? GdSiH2O4